Density functional theory data (PBE) for a relaxed Dy3Mg2VS8 crystal.

```
data_Dy3Mg2VS8
_chemical_formula_sum 'Dy9 Mg6 V3 S24'
_space_group_name_H-M_alt 'R -3 m'
_space_group_IT_number 166
_space_group_name_Hall '-R 3 2"'
_cell_length_a 7.7939
_cell_length_b 7.7939
_cell_length_c 18.7055
_cell_angle_alpha 90.00
_cell_angle_beta 90.00
_cell_angle_gamma 120.00
loop_
_atom_site_label
_atom_site_fract_x
_atom_site_fract_y
_atom_site_fract_z
Dy1 0.0000 0.5000 0.0000
Mg1 0.0000 0.0000 0.1248
V1 0.0000 0.0000 0.5000
S1 0.0000 0.0000 0.2545
S2 0.0259 0.5130 0.2442
```

Computed properties:
The calculation puts the raw total energy at -5.846 eV/atom. The density of states at the Fermi level comes out at 0.481 states/eV/atom. The total magnetization is 0.14 μB per atom.